KCrCo2 | meta-GGA SCAN | PBEsol geometry

Output
Calculated formation energy ... 978 meV/atom
Total DFT energy (no corrections) ... -57.409 eV per formula unit
M_tot ... 0.0 μB/f.u.

Lattice parameters (Å, degrees): 4.086 4.086 6.902 96.81 96.81 37.72
Fractional coordinates of all 4 atoms:
K1 0.000 0.000 0.000
Cr1 0.500 0.500 0.500
Co1 0.221 0.221 0.627
Co2 0.779 0.779 0.373



LaCr2Co2 | meta-GGA SCAN | PBEsol geometry

Output
Calculated formation energy ... 303 meV/atom
Total DFT energy (no corrections) ... -112.968 eV per formula unit
M_tot ... 3.6 μB/f.u.

Lattice parameters (Å, degrees): 5.610 5.610 5.610 138.63 138.63 59.93
Fractional coordinates of all 5 atoms:
La1 0.000 0.000 0.000
Cr1 0.250 0.750 0.500
Cr2 0.750 0.250 0.500
Co1 0.369 0.369 0.000
Co2 0.631 0.631 0.000



LaCrCo4 | meta-GGA SCAN | PBEsol geometry

Output
Calculated formation energy ... 230 meV/atom
Total DFT energy (no corrections) ... -129.325 eV per formula unit
M_tot ... 10.0 μB/f.u.

Lattice parameters (Å, degrees): 4.913 4.913 4.913 60.00 60.00 60.00
Fractional coordinates of all 6 atoms:
La1 0.000 0.000 0.000
Cr1 0.250 0.250 0.250
Co1 0.129 0.624 0.624
Co2 0.624 0.129 0.624
Co3 0.624 0.624 0.129
Co4 0.624 0.624 0.624



LaCr4Co | meta-GGA SCAN | PBEsol geometry

Output
Calculated formation energy ... 790 meV/atom
Total DFT energy (no corrections) ... -129.205 eV per formula unit
M_tot ... 0.6 μB/f.u.

Lattice parameters (Å, degrees): 4.905 4.905 4.905 60.00 60.00 60.00
Fractional coordinates of all 6 atoms:
La1 0.000 0.000 0.000
Cr1 0.129 0.624 0.624
Cr2 0.624 0.129 0.624
Cr3 0.624 0.624 0.129
Cr4 0.624 0.624 0.624
Co1 0.250 0.250 0.250



LiCr2Co | meta-GGA SCAN | PBEsol geometry

Output
Calculated formation energy ... 415 meV/atom
Total DFT energy (no corrections) ... -54.804 eV per formula unit
M_tot ... 0.8 μB/f.u.

Lattice parameters (Å, degrees): 2.402 2.402 7.925 90.00 90.00 90.00
Fractional coordinates of all 4 atoms:
Li1 0.000 0.000 0.000
Cr1 0.000 0.000 0.460
Cr2 0.500 0.500 0.713
Co1 0.500 0.500 0.252



LiCr2Co | meta-GGA SCAN | PBEsol geometry

Output
Calculated formation energy ... 487 meV/atom
Total DFT energy (no corrections) ... -54.517 eV per formula unit
M_tot ... 0.0 μB/f.u.

Lattice parameters (Å, degrees): 4.146 4.146 4.548 93.61 93.61 33.32
Fractional coordinates of all 4 atoms:
Li1 0.000 0.000 0.000
Cr1 0.514 0.514 0.510
Cr2 0.754 0.754 0.245
Co1 0.253 0.253 0.755



LiCrCo2 | meta-GGA SCAN | PBEsol geometry

Output
Calculated formation energy ... 344 meV/atom
Total DFT energy (no corrections) ... -54.007 eV per formula unit
M_tot ... 1.5 μB/f.u.

Lattice parameters (Å, degrees): 3.928 3.928 2.657 90.00 90.00 90.00
Fractional coordinates of all 4 atoms:
Li1 0.000 0.000 0.000
Cr1 0.500 0.500 0.000
Co1 0.000 0.500 0.500
Co2 0.500 0.000 0.500



LiCr2Co | meta-GGA SCAN | PBEsol geometry

Output
Calculated formation energy ... 447 meV/atom
Total DFT energy (no corrections) ... -54.677 eV per formula unit
M_tot ... 0.0 μB/f.u.

Lattice parameters (Å, degrees): 4.596 4.596 4.596 145.61 126.25 65.38
Fractional coordinates of all 4 atoms:
Li1 0.000 0.000 0.000
Cr1 0.509 0.509 0.000
Cr2 0.725 0.225 0.500
Co1 0.258 0.758 0.500



LiCr2Co | meta-GGA SCAN | PBEsol geometry

Output
Calculated formation energy ... 340 meV/atom
Total DFT energy (no corrections) ... -55.102 eV per formula unit
M_tot ... 1.3 μB/f.u.

Lattice parameters (Å, degrees): 2.350 3.908 4.704 90.00 97.18 90.00
Fractional coordinates of all 4 atoms:
Li1 0.000 0.000 0.000
Cr1 0.270 0.500 0.745
Cr2 0.493 0.000 0.496
Co1 0.758 0.500 0.242



LiCr2Co | meta-GGA SCAN | PBEsol geometry

Output
Calculated formation energy ... 492 meV/atom
Total DFT energy (no corrections) ... -54.497 eV per formula unit
M_tot ... 5.7 μB/f.u.

Lattice parameters (Å, degrees): 4.049 4.049 2.706 90.00 90.00 90.00
Fractional coordinates of all 4 atoms:
Li1 0.000 0.000 0.000
Cr1 0.000 0.500 0.500
Cr2 0.500 0.000 0.500
Co1 0.500 0.500 0.000



LiCrCo2 | meta-GGA SCAN | PBEsol geometry

Output
Calculated formation energy ... 398 meV/atom
Total DFT energy (no corrections) ... -53.792 eV per formula unit
M_tot ... 2.2 μB/f.u.

Lattice parameters (Å, degrees): 2.397 3.732 4.587 90.00 90.00 90.00
Fractional coordinates of all 4 atoms:
Li1 0.000 0.000 0.000
Cr1 0.500 0.500 0.721
Co1 0.000 0.000 0.495
Co2 0.500 0.500 0.205



Li4Cr3CoO8 | meta-GGA SCAN | PBEsol geometry

Output
Energy relative to the elements, uncorrected ... -2355 meV/atom
Total DFT energy (no corrections) ... -169.550 eV per formula unit
M_tot ... 9.0 μB/f.u.

Lattice parameters (Å, degrees): 5.766 5.766 4.972 106.72 106.72 59.80
Fractional coordinates of all 16 atoms:
Li1 0.000 0.500 0.000
Li2 0.248 0.248 0.487
Li3 0.500 0.000 0.000
Li4 0.752 0.752 0.513
Cr1 0.247 0.753 0.500
Cr2 0.500 0.500 0.000
Cr3 0.753 0.247 0.500
Co1 0.000 0.000 0.000
O1 0.113 0.113 0.746
O2 0.135 0.641 0.761
O3 0.359 0.865 0.239
O4 0.387 0.387 0.259
O5 0.613 0.613 0.741
O6 0.641 0.135 0.761
O7 0.865 0.359 0.239
O8 0.887 0.887 0.254



| no. | volume (Å³ per cell) |
| --- | --- |
| 1 | 69.9 |
| 2 | 76.3 |
| 3 | 83.8 |
| 4 | 83.5 |
| 5 | 45.7 |
| 6 | 42.9 |
| 7 | 41.0 |
| 8 | 43.7 |
| 9 | 42.9 |
| 10 | 44.4 |
| 11 | 41.0 |
| 12 | 134.8 |